Record 1
MgAlNi2 | PBEsol | optimized geometry

Properties
The electronic total energy comes out at -4.95 eV/atom. As for the total magnetization: 0.00 μB per atom.

Unit cell a=2.8486 b=2.8486 c=6.2157 alpha=90.00 beta=90.00 gamma=90.00
With the nearest neighbours (Å) after each atom.
Space group P4/mmm (No. 123)
Unique sites:
1 Mg 0.0000 0.0000 0.0000 (multiplicity 1)  8 Ni 2.65, 4 Mg 2.85
2 Al 0.0000 0.0000 0.5000 (multiplicity 1)  8 Ni 2.44
3 Ni 0.5000 0.5000 0.2774 (multiplicity 2)  4 Al 2.44, 4 Mg 2.65

Record 2
Y2CrPb | PBEsol | optimized geometry

Properties
The electronic total energy comes out at -6.95 eV/atom. As for the total magnetization: 1.01 μB per atom.

Unit cell a=4.7519 b=4.7519 c=8.6730 alpha=90.00 beta=90.00 gamma=90.00
With the nearest neighbours (Å) after each atom.
Space group I4/mmm (No. 139)
Unique sites:
1 Y 0.0000 0.5000 0.2500 (multiplicity 4)  4 Cr 3.22, 4 Pb 3.22, 4 Y 3.36
2 Cr 0.0000 0.0000 0.0000 (multiplicity 2)  8 Y 3.22, 4 Pb 3.36
3 Pb 0.0000 0.0000 0.5000 (multiplicity 2)  8 Y 3.22, 4 Cr 3.36

Record 3
CoPdO2 | PBEsol | optimized geometry

Properties
The electronic total energy comes out at -6.93 eV/atom. As for the total magnetization: 0.00 μB per atom. As for the raw formation energy: -0.877 eV/atom.

Unit cell a=2.8134 b=2.8134 c=17.6102 alpha=90.00 beta=90.00 gamma=120.00
With the nearest neighbours (Å) after each atom.
Space group R-3m (No. 166, hexagonal axes)
Unique sites:
1 Co 0.0000 0.0000 0.0000 (multiplicity 3)  6 O 1.88
2 Pd 0.0000 0.0000 0.5000 (multiplicity 3)  2 O 1.98
3 O 0.0000 0.0000 0.3875 (multiplicity 6)  3 Co 1.88, 1 Pd 1.98

Record 4
CdReSe4 | PBEsol | optimized geometry

Properties
The electronic total energy comes out at -3.77 eV/atom. As for the total magnetization: 0.54 μB per atom. As for the raw formation energy: 1.222 eV/atom.

Unit cell a=7.8649 b=7.8649 c=7.8649 alpha=90.00 beta=90.00 gamma=90.00
With the nearest neighbours (Å) after each atom.
Space group F-43m (No. 216)
Unique sites:
1 Cd 0.0000 0.0000 0.0000 (multiplicity 4)  12 Se 3.26, 4 Re 3.41
2 Re 0.2500 0.2500 0.7500 (multiplicity 4)  12 Se 3.26, 4 Cd 3.41
3 Se 0.1239 0.1239 0.3761 (multiplicity 16)  6 Se 2.76-2.81

Record 5
BaBeOs2 | PBEsol | optimized geometry

Properties
The electronic total energy comes out at -7.09 eV/atom. As for the total magnetization: 0.00 μB per atom.

Unit cell a=2.9491 b=4.0670 c=6.5473 alpha=90.00 beta=100.57 gamma=90.00
With the nearest neighbours (Å) after each atom.
Space group Pm (No. 6)
Unique sites:
1 Ba 0.0000 0.0000 0.0000 (multiplicity 1)  2 Ba 2.95, 4 Be 3.24-3.26
2 Be 0.6400 0.5000 0.3207 (multiplicity 1)  4 Os 2.30-2.32
3 Os 0.2533 0.5000 0.5993 (multiplicity 1)  2 Be 2.32, 2 Os 2.55
4 Os 0.6711 0.0000 0.4878 (multiplicity 1)  2 Be 2.30, 2 Os 2.55

Record 6
Co2Tc | PBEsol | optimized geometry

Properties
The electronic total energy comes out at -8.88 eV/atom. As for the total magnetization: 0.55 μB per atom. Its energy above the most stable polymorph in this dataset is 0.27 eV per formula unit.

Unit cell a=3.9666 b=3.9666 c=2.4960 alpha=90.00 beta=90.00 gamma=120.00
With the nearest neighbours (Å) after each atom.
Space group P6/mmm (No. 191)
Unique sites:
1 Co 0.3333 0.6667 0.0000 (multiplicity 2)  5 Co 2.29-2.50
2 Tc 0.0000 0.0000 0.5000 (multiplicity 1)  2 Tc 2.50, 12 Co 2.61